No. 1
An optimized crystal structure of ThTl2MoO6, computed with GGA+U.

The structure belongs to space group Fm-3m (No. 225); the cell edges are 8.590, 8.590 and 8.590 Å and the angles 90.00°, 90.00° and 90.00°. The distinct sites, in fractional coordinates, are Th at (0.000, 0.000, 0.000), Tl at (0.250, 0.250, 0.250), Mo at (0.000, 0.000, 0.500) and O at (0.000, 0.000, 0.272).

For the density, the calculation gives 8725 kg/m3.

---

No. 2
An optimized crystal structure of Ti2MoO2, computed with GGA+U.

The structure belongs to space group P4/mbm (No. 127); the cell edges are 6.013, 6.013 and 3.064 Å and the angles 90.00°, 90.00° and 90.00°. The distinct sites, in fractional coordinates, are Ti at (0.161, 0.339, 0.000), Mo at (0.000, 0.000, 0.500) and O at (0.149, 0.649, 0.500).

For the density, the calculation gives 6704 kg/m3. The value obtained for the density of states at the Fermi level is 5.553 states/eV per cell. The value obtained for the energy relative to the lowest polymorph listed for this composition is 1.042 eV/f.u.

---

No. 3
An optimized crystal structure of Ti2Mo2O7, computed with GGA+U.

The structure belongs to space group Cmmm (No. 65); the cell edges are 6.688, 7.044 and 5.061 Å and the angles 90.00°, 90.00° and 90.00°. The distinct sites, in fractional coordinates, are Ti at (0.000, 0.231, 0.000), Mo at (0.247, 0.500, 0.500), O at (0.000, 0.000, 0.243), O at (0.000, 0.500, 0.000) and O at (0.250, 0.250, 0.251).

For the density, the calculation gives 5566 kg/m3. The value obtained for the density of states at the Fermi level is 2.826 states/eV per cell.

---

No. 4
An optimized crystal structure of TiMoO2, computed with GGA+U.

The structure belongs to space group R-3m (No. 166, hexagonal axes); the cell edges are 2.8721, 2.8721 and 19.4827 Å and the angles 90.00°, 90.00° and 120.00°. The distinct sites, in fractional coordinates, are Ti at (0.0000, 0.0000, 0.0000), Mo at (0.0000, 0.0000, 0.5000) and O at (0.0000, 0.0000, 0.3925).

For the density, the calculation gives 6292 kg/m3. The value obtained for the density of states at the Fermi level is 4.863 states/eV per cell. The value obtained for the energy relative to the lowest polymorph listed for this composition is 0.000 eV/f.u.

---

No. 5
An optimized crystal structure of TiMo2O, computed with GGA+U.

The structure belongs to space group I-42d (No. 122); the cell edges are 7.356, 7.356 and 4.252 Å and the angles 90.00°, 90.00° and 90.00°. The distinct sites, in fractional coordinates, are Ti at (0.000, 0.000, 0.000), Mo at (0.136, 0.750, 0.625) and O at (0.000, 0.000, 0.500).

For the density, the calculation gives 7383 kg/m3. The value obtained for the density of states at the Fermi level is 8.141 states/eV per cell.

---

No. 6
An optimized crystal structure of TiMoO2, computed with GGA+U.

The structure belongs to space group I-42d (No. 122); the cell edges are 4.859, 4.859 and 9.678 Å and the angles 90.00°, 90.00° and 90.00°. The distinct sites, in fractional coordinates, are Ti at (0.000, 0.000, 0.000), Mo at (0.000, 0.000, 0.500) and O at (0.189, 0.250, 0.125).

For the density, the calculation gives 5111 kg/m3. The value obtained for the density of states at the Fermi level is 9.609 states/eV per cell. The value obtained for the energy relative to the lowest polymorph listed for this composition is 0.484 eV/f.u.

---

No. 7
An optimized crystal structure of Ti2MoO2, computed with GGA+U.

The structure belongs to space group I4/mmm (No. 139); the cell edges are 4.103, 4.103 and 9.060 Å and the angles 90.00°, 90.00° and 90.00°. The distinct sites, in fractional coordinates, are Ti at (0.000, 0.500, 0.250), Mo at (0.000, 0.000, 0.000) and O at (0.000, 0.000, 0.240).

For the density, the calculation gives 4870 kg/m3. The value obtained for the density of states at the Fermi level is 7.254 states/eV per cell. The value obtained for the energy relative to the lowest polymorph listed for this composition is 0.000 eV/f.u.

---

No. 8
An optimized crystal structure of TiMoO2, computed with GGA+U.

The structure belongs to space group Fm-3m (No. 225); the cell edges are 5.488, 5.488 and 5.488 Å and the angles 90.00°, 90.00° and 90.00°. The distinct sites, in fractional coordinates, are Ti at (0.000, 0.000, 0.000), Mo at (0.000, 0.000, 0.500) and O at (0.250, 0.250, 0.250).

For the density, the calculation gives 7065 kg/m3. The value obtained for the density of states at the Fermi level is 9.565 states/eV per cell. The value obtained for the energy relative to the lowest polymorph listed for this composition is 2.575 eV/f.u.

---

E, respectively: -6.867, -7.588, -7.955, -7.724, -6.585, -7.603, -7.796, -7.081 eV/atom.